{"formula": "Ta2AlCl", "functional": "PBE", "state": "optimized geometry", "total_magnetization_mub_per_cell": 0.00, "spacegroup": "Pmmm, No. 47", "formation_energy_uncorrected_ev_per_fu": 1.27, "lattice_angstrom": [[2.918, 0.000, 0.000], [0.000, 4.760, 0.000], [0.000, 0.000, 5.199]], "species": ["Ta", "Ta", "Al", "Cl"], "fractional_positions": [[0.000, 0.000, 0.000], [0.500, 0.000, 0.500], [0.000, 0.500, 0.500], [0.500, 0.500, 0.000]]}

***

{"formula": "TaAlCl2", "functional": "PBE", "state": "optimized geometry", "total_magnetization_mub_per_cell": 0.00, "spacegroup": "Cmmm, No. 65", "formation_energy_uncorrected_ev_per_fu": 1.71, "lattice_angstrom": [[5.849, 0.000, 0.000], [0.000, 8.523, 0.000], [0.000, 0.000, 2.997]], "species": ["Ta", "Ta", "Al", "Al", "Cl", "Cl", "Cl", "Cl"], "fractional_positions": [[0.000, 0.000, 0.000], [0.500, 0.500, 0.000], [0.000, 0.500, 0.000], [0.500, 0.000, 0.000], [0.250, 0.250, 0.500], [0.250, 0.750, 0.500], [0.750, 0.250, 0.500], [0.750, 0.750, 0.500]]}

***

{"formula": "TaAl2Cl", "functional": "PBE", "state": "optimized geometry", "total_magnetization_mub_per_cell": 0.00, "spacegroup": "Cmmm, No. 65", "formation_energy_uncorrected_ev_per_fu": -0.10, "lattice_angstrom": [[6.206, 0.000, 0.000], [0.000, 7.874, 0.000], [0.000, 0.000, 2.890]], "species": ["Ta", "Ta", "Al", "Al", "Al", "Al", "Cl", "Cl"], "fractional_positions": [[0.000, 0.000, 0.000], [0.500, 0.500, 0.000], [0.250, 0.250, 0.500], [0.250, 0.750, 0.500], [0.750, 0.250, 0.500], [0.750, 0.750, 0.500], [0.000, 0.500, 0.000], [0.500, 0.000, 0.000]]}

***

{"formula": "TaAlCl2", "functional": "PBE", "state": "optimized geometry", "total_magnetization_mub_per_cell": 0.00, "spacegroup": "R-3m, No. 166", "formation_energy_uncorrected_ev_per_fu": -1.32, "lattice_angstrom": [[3.113, 0.000, 0.000], [-1.557, 2.696, 0.000], [0.000, 0.000, 28.774]], "species": ["Ta", "Ta", "Ta", "Al", "Al", "Al", "Cl", "Cl", "Cl", "Cl", "Cl", "Cl"], "fractional_positions": [[0.000, 0.000, 0.000], [0.333, 0.667, 0.667], [0.667, 0.333, 0.333], [0.000, 0.000, 0.500], [0.333, 0.667, 0.167], [0.667, 0.333, 0.833], [0.000, 0.000, 0.397], [0.000, 0.000, 0.603], [0.333, 0.667, 0.064], [0.333, 0.667, 0.270], [0.667, 0.333, 0.730], [0.667, 0.333, 0.936]]}

***

{"formula": "TaAl2Cl", "functional": "PBE", "state": "optimized geometry", "total_magnetization_mub_per_cell": 0.00, "spacegroup": "P4/mmm, No. 123", "formation_energy_uncorrected_ev_per_fu": -0.47, "lattice_angstrom": [[2.977, 0.000, 0.000], [0.000, 2.977, 0.000], [0.000, 0.000, 8.083]], "species": ["Ta", "Al", "Al", "Cl"], "fractional_positions": [[0.000, 0.000, 0.000], [0.500, 0.500, 0.232], [0.500, 0.500, 0.768], [0.000, 0.000, 0.500]]}

***

{"formula": "TaAlCl", "functional": "PBE", "state": "optimized geometry", "total_magnetization_mub_per_cell": 0.00, "spacegroup": "F-43m, No. 216", "formation_energy_uncorrected_ev_per_fu": 2.71, "lattice_angstrom": [[6.044, 0.000, 0.000], [0.000, 6.044, 0.000], [0.000, 0.000, 6.044]], "species": ["Ta", "Ta", "Ta", "Ta", "Al", "Al", "Al", "Al", "Cl", "Cl", "Cl", "Cl"], "fractional_positions": [[0.000, 0.000, 0.000], [0.000, 0.500, 0.500], [0.500, 0.000, 0.500], [0.500, 0.500, 0.000], [0.000, 0.000, 0.500], [0.000, 0.500, 0.000], [0.500, 0.000, 0.000], [0.500, 0.500, 0.500], [0.250, 0.250, 0.750], [0.250, 0.750, 0.250], [0.750, 0.250, 0.250], [0.750, 0.750, 0.750]]}

***

Number 1: D(E_F) 0.98 states/eV/atom, E above lowest polymorph 1.58 eV/f.u.. Number 2: D(E_F) 0.65 states/eV/atom, E above lowest polymorph 4.85 eV/f.u.. Number 3: D(E_F) 0.36 states/eV/atom, E above lowest polymorph 0.96 eV/f.u.. Number 4: D(E_F) 0.29 states/eV/atom, E above lowest polymorph 1.82 eV/f.u.. Number 5: D(E_F) 0.23 states/eV/atom, E above lowest polymorph 0.59 eV/f.u.. Number 6: D(E_F) 0.48 states/eV/atom, E above lowest polymorph 3.43 eV/f.u..